The following is a DFT calculation (PBEsol) of a geometry-optimized CrIn2Br structure.

Cell lengths 10.936, 3.219, 5.988 Å; angles 90.00, 118.88, 90.00 degrees
Space group Cm (No. 8)
Symmetry-distinct sites (fractional):
Cr 0.000 0.000 0.000 [2 per cell]
In 0.076 0.500 0.434 [2 per cell]
In 0.238 0.500 0.028 [2 per cell]
Br 0.374 0.000 0.628 [2 per cell]

Results
* size of the total moment: 3.745 μB per formula unit
* ΔE to the lowest computed polymorph: 60 meV/atom
* total DFT energy (no corrections): -4.348 eV per atom